w.
! PBE SnPdSO, optimized geometry; values from VASP
&SYSTEM
  ibrav = 0, nat = 16, ntyp = 4
/
ATOMIC_SPECIES
O 16.00 O.upf
Pd 106.42 Pd.upf
S 32.06 S.upf
Sn 118.71 Sn.upf
CELL_PARAMETERS angstrom
-1.2815 -1.0601 5.7773
8.3429 -0.3658 1.7834
0.0243 5.5048 1.0155
ATOMIC_POSITIONS crystal
O 0.9653 0.0657 0.2375
O 0.4653 0.9343 0.2375
O 0.5347 0.0657 0.7375
O 0.0347 0.9343 0.7375
Pd 0.4813 0.1522 0.0870
Pd 0.9813 0.8478 0.0870
Pd 0.0187 0.1522 0.5870
Pd 0.5187 0.8478 0.5870
S 0.9431 0.3901 0.4133
S 0.4431 0.6099 0.4133
S 0.5569 0.3901 0.9133
S 0.0569 0.6099 0.9133
Sn 0.9654 0.2589 0.0122
Sn 0.4654 0.7411 0.0122
Sn 0.5346 0.2589 0.5122
Sn 0.0346 0.7411 0.5122
! Crystal system ... orthorhombic
! Theoretical density ... 6.31 g/cm³
! Space group ... Pca2_1 (29)



x.
! PBE SnPdSO, optimized geometry; values from VASP
&SYSTEM
  ibrav = 0, nat = 16, ntyp = 4
/
ATOMIC_SPECIES
O 16.00 O.upf
Pd 106.42 Pd.upf
S 32.06 S.upf
Sn 118.71 Sn.upf
CELL_PARAMETERS angstrom
6.0628 0.0000 0.0000
0.0000 7.2864 0.0000
0.0000 0.0000 6.3091
ATOMIC_POSITIONS crystal
O 0.1094 0.0371 0.0060
O 0.6094 0.9629 0.0060
O 0.3906 0.0371 0.5060
O 0.8906 0.9629 0.5060
Pd 0.0040 0.3243 0.0809
Pd 0.5040 0.6757 0.0809
Pd 0.4960 0.3243 0.5809
Pd 0.9960 0.6757 0.5809
S 0.6051 0.3880 0.2150
S 0.1051 0.6120 0.2150
S 0.8949 0.3880 0.7150
S 0.3949 0.6120 0.7150
Sn 0.0951 0.1816 0.4481
Sn 0.5951 0.8184 0.4481
Sn 0.4049 0.1816 0.9481
Sn 0.9049 0.8184 0.9481
! Crystal system ... orthorhombic
! Theoretical density ... 6.51 g/cm³
! Space group ... Pca2_1 (29)



Ordering by calculated energy gives the sequence x, w, with the first entry being the most stable.



w.
! PBE SrPdSO, optimized geometry; values from VASP
&SYSTEM
  ibrav = 0, nat = 8, ntyp = 4
/
ATOMIC_SPECIES
O 16.00 O.upf
Pd 106.42 Pd.upf
S 32.06 S.upf
Sr 87.62 Sr.upf
CELL_PARAMETERS angstrom
4.5261 0.0000 0.0000
0.0000 4.5261 0.0000
0.0000 0.0000 7.8117
ATOMIC_POSITIONS crystal
O 0.2500 0.2500 0.4656
O 0.7500 0.7500 0.5344
Pd 0.7500 0.7500 0.2540
Pd 0.2500 0.2500 0.7460
S 0.2500 0.2500 0.2700
S 0.7500 0.7500 0.7300
Sr 0.7500 0.2500 0.0000
Sr 0.2500 0.7500 0.0000
! Crystal system ... tetragonal
! Theoretical density ... 5.02 g/cm³
! Space group ... P4/nmm (129)



x.
! PBE SrPdSO, optimized geometry; values from VASP
&SYSTEM
  ibrav = 0, nat = 16, ntyp = 4
/
ATOMIC_SPECIES
O 16.00 O.upf
Pd 106.42 Pd.upf
S 32.06 S.upf
Sr 87.62 Sr.upf
CELL_PARAMETERS angstrom
-4.3693 1.3248 -3.8566
5.6838 -1.3397 -6.8997
-1.5815 -5.7553 -0.1853
ATOMIC_POSITIONS crystal
O 0.1123 0.0877 0.1889
O 0.6123 0.9123 0.1889
O 0.3877 0.0877 0.6889
O 0.8877 0.9123 0.6889
Pd 0.4811 0.0791 0.0143
Pd 0.9811 0.9209 0.0143
Pd 0.0189 0.0791 0.5143
Pd 0.5189 0.9209 0.5143
S 0.5057 0.3466 0.0248
S 0.0057 0.6534 0.0248
S 0.9943 0.3466 0.5248
S 0.4943 0.6534 0.5248
Sr 0.0028 0.3196 0.0220
Sr 0.5028 0.6804 0.0220
Sr 0.4972 0.3196 0.5220
Sr 0.9972 0.6804 0.5220
! Crystal system ... orthorhombic
! Theoretical density ... 4.98 g/cm³
! Space group ... Pca2_1 (29)



Ordering by calculated energy gives the sequence x, w, with the first entry being the most stable.



w.
! PBE SrPdSO, optimized geometry; values from VASP
&SYSTEM
  ibrav = 0, nat = 8, ntyp = 4
/
ATOMIC_SPECIES
O 16.00 O.upf
Pd 106.42 Pd.upf
S 32.06 S.upf
Sr 87.62 Sr.upf
CELL_PARAMETERS angstrom
-1.9827 -3.6391 1.2637
2.6762 -0.2789 3.3958
-5.2387 4.4138 4.4911
ATOMIC_POSITIONS crystal
O 0.7500 0.7500 0.1174
O 0.2500 0.2500 0.8826
Pd 0.7500 0.7500 0.3857
Pd 0.2500 0.2500 0.6143
S 0.7500 0.2500 0.5000
S 0.2500 0.7500 0.5000
Sr 0.2500 0.2500 0.1598
Sr 0.7500 0.7500 0.8402
! Crystal system ... tetragonal
! Theoretical density ... 5.23 g/cm³
! Space group ... P4/nmm (129)



x.
! PBE SrPdSO, optimized geometry; values from VASP
&SYSTEM
  ibrav = 0, nat = 8, ntyp = 4
/
ATOMIC_SPECIES
O 16.00 O.upf
Pd 106.42 Pd.upf
S 32.06 S.upf
Sr 87.62 Sr.upf
CELL_PARAMETERS angstrom
-1.5122 3.6966 1.1767
-3.0297 -0.3365 -2.8362
-5.1438 -4.0046 5.9700
ATOMIC_POSITIONS crystal
O 0.7500 0.2500 0.5000
O 0.2500 0.7500 0.5000
Pd 0.2500 0.2500 0.4337
Pd 0.7500 0.7500 0.5663
S 0.2500 0.2500 0.1488
S 0.7500 0.7500 0.8512
Sr 0.7500 0.7500 0.1908
Sr 0.2500 0.2500 0.8092
! Crystal system ... tetragonal
! Theoretical density ... 5.25 g/cm³
! Space group ... P4/nmm (129)



Ordering by calculated energy gives the sequence w, x, with the first entry being the most stable.